This record from Alexandria describes a relaxed structure of Mn2ZnO4. The functional is PBE with a Hubbard U.

Lattice parameters (Å, degrees): 5.1564 5.1564 9.7400 90.00 90.00 146.31
Closest atoms and distances in Å follow each position.
Positions (direct):
Mn1 0.1324 0.8676 0.5705  6 O 1.97-2.11
Mn2 0.8676 0.1324 0.4295  6 O 1.97-2.11
Mn3 0.1324 0.8676 0.9295  6 O 1.97-2.11
Mn4 0.8676 0.1324 0.0705  6 O 1.97-2.11
Zn1 0.6085 0.3915 0.2500  6 O 2.10-2.30
Zn2 0.3915 0.6085 0.7500  6 O 2.10-2.30
O1 0.7773 0.2227 0.8877  3 Mn 1.99-2.11
O2 0.2227 0.7773 0.1123  3 Mn 1.99-2.11
O3 0.2227 0.7773 0.3877  3 Mn 1.99-2.11
O4 0.7773 0.2227 0.6123  3 Mn 1.99-2.11
O5 0.0403 0.9597 0.7500  2 Mn 1.97, 2 Zn 2.10
O6 0.9597 0.0403 0.2500  2 Mn 1.97, 2 Zn 2.10
O7 0.5000 0.5000 0.5000  4 Mn 2.10
O8 0.5000 0.5000 0.0000  4 Mn 2.10

Results
For the calculated density, the calculation gives 5.53 g/cm³. As for the density of states at the Fermi level: 2.04 states/eV per cell. As for the total energy: -92.11 eV per cell. Its total moment is 8.0 μB per formula unit.